[1]
A geometry-optimized HfScGa2 structure. Source: the Alexandria database, functional GGA-PBE.

The structure in CIF format:
```
data_HfScGa2
_cell_length_a 4.360
_cell_length_b 4.360
_cell_length_c 3.917
_cell_angle_alpha 90.00
_cell_angle_beta 90.00
_cell_angle_gamma 90.00
_space_group_name_H-M_alt 'P 4/m m m'
_space_group_IT_number 123
_space_group_name_Hall '-P 4 2'
loop_
_atom_site_label
_atom_site_fract_x
_atom_site_fract_y
_atom_site_fract_z
Hf1 0.000 0.000 0.000
Sc1 0.500 0.500 0.000
Ga1 0.000 0.500 0.500
```

Output
Energy of formation from the pure elements, eV/f.u.: -1.83
Offset from the most stable computed form, meV/atom: 84
Uncorrected energy, eV/atom: -6.043
Crystal system: tetragonal

[2]
A geometry-optimized HfScGa2 structure. Source: the Alexandria database, functional GGA-PBE.

The structure in CIF format:
```
data_HfScGa2
_cell_length_a 7.402
_cell_length_b 7.402
_cell_length_c 5.953
_cell_angle_alpha 90.00
_cell_angle_beta 90.00
_cell_angle_gamma 90.00
_space_group_name_H-M_alt 'I -4 2 d'
_space_group_IT_number 122
_space_group_name_Hall 'I -4 2bw'
loop_
_atom_site_label
_atom_site_fract_x
_atom_site_fract_y
_atom_site_fract_z
Hf1 0.000 0.000 0.000
Sc1 0.000 0.000 0.500
Ga1 0.250 0.250 0.125
```

Output
Energy of formation from the pure elements, eV/f.u.: -0.50
Offset from the most stable computed form, meV/atom: 417
Uncorrected energy, eV/atom: -5.711
Crystal system: tetragonal

[3]
A geometry-optimized HfSc8Ga2 structure. Source: the Alexandria database, functional GGA-PBE.

The structure in CIF format:
```
data_HfSc8Ga2
_cell_length_a 8.141
_cell_length_b 13.468
_cell_length_c 5.008
_cell_angle_alpha 90.00
_cell_angle_beta 111.60
_cell_angle_gamma 90.00
_space_group_name_H-M_alt 'C 1 2/m 1'
_space_group_IT_number 12
loop_
_space_group_symop_operation_xyz
'x,y,z'
'-x,-y,-z'
'-x,y,-z'
'x,-y,z'
'x+1/2,y+1/2,z'
'-x+1/2,-y+1/2,-z'
'-x+1/2,y+1/2,-z'
'x+1/2,-y+1/2,z'
loop_
_atom_site_label
_atom_site_fract_x
_atom_site_fract_y
_atom_site_fract_z
Hf1 0.000 0.000 0.000
Sc1 0.000 0.221 0.000
Sc2 0.107 0.500 0.798
Sc3 0.202 0.116 0.607
Ga1 0.000 0.309 0.500
```

Output
Energy of formation from the pure elements, eV/f.u.: -1.07
Uncorrected energy, eV/atom: -6.158
Crystal system: monoclinic

[4]
A geometry-optimized Hf2ScGa6 structure. Source: the Alexandria database, functional GGA-PBE.

The structure in CIF format:
```
data_Hf2ScGa6
_cell_length_a 7.6598
_cell_length_b 7.6598
_cell_length_c 3.1136
_cell_angle_alpha 90.00
_cell_angle_beta 90.00
_cell_angle_gamma 120.00
_space_group_name_H-M_alt 'P 6/m m m'
_space_group_IT_number 191
_space_group_name_Hall '-P 6 2'
loop_
_atom_site_label
_atom_site_fract_x
_atom_site_fract_y
_atom_site_fract_z
Hf1 0.3333 0.6667 0.0000
Sc1 0.0000 0.0000 0.0000
Ga1 0.0000 0.3330 0.5000
```

Output
Energy of formation from the pure elements, eV/f.u.: -3.48
Offset from the most stable computed form, meV/atom: 0
Uncorrected energy, eV/atom: -5.320
Crystal system: hexagonal

[5]
A geometry-optimized Hf2Sc2Ga structure. Source: the Alexandria database, functional GGA-PBE.

The structure in CIF format:
```
data_Hf2Sc2Ga
_cell_length_a 3.934
_cell_length_b 3.934
_cell_length_c 14.706
_cell_angle_alpha 90.00
_cell_angle_beta 90.00
_cell_angle_gamma 90.00
_space_group_name_H-M_alt 'I 4/m m m'
_space_group_IT_number 139
_space_group_name_Hall '-I 4 2'
loop_
_atom_site_label
_atom_site_fract_x
_atom_site_fract_y
_atom_site_fract_z
Hf1 0.000 0.000 0.088
Sc1 0.000 0.500 0.250
Ga1 0.000 0.000 0.500
```

Output
Energy of formation from the pure elements, eV/f.u.: 2.30
Offset from the most stable computed form, meV/atom: 447
Uncorrected energy, eV/atom: -6.660
Crystal system: tetragonal

[6]
A geometry-optimized Hf2Sc4Ga structure. Source: the Alexandria database, functional GGA-PBE.

The structure in CIF format:
```
data_Hf2Sc4Ga
_cell_length_a 5.039
_cell_length_b 5.039
_cell_length_c 14.749
_cell_angle_alpha 90.00
_cell_angle_beta 90.00
_cell_angle_gamma 90.00
_space_group_name_H-M_alt 'I 4/m m m'
_space_group_IT_number 139
_space_group_name_Hall '-I 4 2'
loop_
_atom_site_label
_atom_site_fract_x
_atom_site_fract_y
_atom_site_fract_z
Hf1 0.000 0.000 0.106
Sc1 0.000 0.000 0.320
Sc2 0.000 0.500 0.000
Ga1 0.000 0.000 0.500
```

Output
Energy of formation from the pure elements, eV/f.u.: 4.19
Uncorrected energy, eV/atom: -6.296
Crystal system: tetragonal